Compound: Pr2Tl3SbS6
Source: Alexandria
Functional: PBE-GGA
Structure: relaxed

For the raw total energy, the calculation gives -4.86 eV per atom.

It has space group C2/m (No. 12), with a = 7.222 Å, b = 12.506 Å, c = 7.830 Å, α = 90.00°, β = 107.90° and γ = 90.00°. Symmetry generates all atoms from Pr at (0.000, 0.167, 0.000), Tl at (0.000, 0.000, 0.500), Tl at (0.000, 0.331, 0.500), Sb at (0.000, 0.500, 0.000), S at (0.230, 0.338, 0.203) and S at (0.245, 0.000, 0.206).

Compound: PrTmSbS
Source: Alexandria
Functional: PBE-GGA
Structure: relaxed

For the raw total energy, the calculation gives -5.77 eV per atom. The value obtained for the density of states at the Fermi level is 0.386 states/eV/atom.

It has space group R3m (No. 160, hexagonal axes), with a = 4.1067 Å, b = 4.1067 Å, c = 22.3131 Å, α = 90.00°, β = 90.00° and γ = 120.00°. Symmetry generates all atoms from Pr at (0.0000, 0.0000, 0.0000), Tm at (0.0000, 0.0000, 0.1610), Sb at (0.0000, 0.0000, 0.5749) and S at (0.0000, 0.0000, 0.7552).

Compound: PrYSbS
Source: Alexandria
Functional: PBE-GGA
Structure: relaxed

For the raw total energy, the calculation gives -6.13 eV per atom. The value obtained for the density of states at the Fermi level is 0.819 states/eV/atom.

It has space group R-3m (No. 166, hexagonal axes), with a = 4.9714 Å, b = 4.9714 Å, c = 33.3430 Å, α = 90.00°, β = 90.00° and γ = 120.00°. Symmetry generates all atoms from Pr at (0.0000, 0.0000, 0.2038), Y at (0.0000, 0.0000, 0.3773), Sb at (0.0000, 0.0000, 0.0990) and S at (0.0000, 0.0000, 0.2975).

Compound: PrScS3
Source: Alexandria
Functional: PBE-GGA
Structure: relaxed

For the raw total energy, the calculation gives -6.67 eV per atom. The value obtained for the density of states at the Fermi level is 0.003 states/eV/atom.

It has space group Pnma (No. 62), with a = 8.083 Å, b = 3.850 Å, c = 14.037 Å, α = 90.00°, β = 90.00° and γ = 90.00°. Symmetry generates all atoms from Pr at (0.130, 0.250, 0.193), Sc at (0.180, 0.750, 0.456), S at (0.000, 0.250, 0.389), S at (0.160, 0.250, 0.797) and S at (0.164, 0.750, 0.041).

Compound: PrSc3S
Source: Alexandria
Functional: PBE-GGA
Structure: relaxed

For the raw total energy, the calculation gives -6.18 eV per atom. The value obtained for the density of states at the Fermi level is 2.106 states/eV/atom.

It has space group Pm-3m (No. 221), with a = 5.005 Å, b = 5.005 Å, c = 5.005 Å, α = 90.00°, β = 90.00° and γ = 90.00°. Symmetry generates all atoms from Pr at (0.000, 0.000, 0.000), Sc at (0.000, 0.500, 0.500) and S at (0.500, 0.500, 0.500).

Compound: Pr3ScS6
Source: Alexandria
Functional: PBE-GGA
Structure: relaxed

For the raw total energy, the calculation gives -6.52 eV per atom. The value obtained for the density of states at the Fermi level is 0.000 states/eV/atom.

It has space group P2_1/c (No. 14), with a = 6.744 Å, b = 7.355 Å, c = 11.918 Å, α = 90.00°, β = 122.55° and γ = 90.00°. Symmetry generates all atoms from Pr at (0.000, 0.000, 0.000), Pr at (0.294, 0.094, 0.755), Sc at (0.500, 0.000, 0.500), S at (0.118, 0.054, 0.264), S at (0.268, 0.679, 0.074) and S at (0.407, 0.196, 0.074).

Compound: Pr5ScS6
Source: Alexandria
Functional: PBE-GGA
Structure: relaxed

For the raw total energy, the calculation gives -6.55 eV per atom. The value obtained for the density of states at the Fermi level is 0.450 states/eV/atom.

It has space group C2/m (No. 12), with a = 6.993 Å, b = 12.131 Å, c = 7.012 Å, α = 90.00°, β = 109.53° and γ = 90.00°. Symmetry generates all atoms from Pr at (0.000, 0.000, 0.000), Pr at (0.000, 0.167, 0.500), Pr at (0.000, 0.326, 0.000), Sc at (0.000, 0.500, 0.500), S at (0.233, 0.500, 0.257) and S at (0.235, 0.343, 0.736).

Compound: PrScS3
Source: Alexandria
Functional: PBE-GGA
Structure: relaxed

For the raw total energy, the calculation gives -6.71 eV per atom. The value obtained for the density of states at the Fermi level is 0.000 states/eV/atom.

It has space group Pnma (No. 62), with a = 7.193 Å, b = 9.619 Å, c = 6.539 Å, α = 90.00°, β = 90.00° and γ = 90.00°. Symmetry generates all atoms from Pr at (0.097, 0.250, 0.036), Sc at (0.000, 0.000, 0.500), S at (0.035, 0.750, 0.375) and S at (0.188, 0.561, 0.820).

| no. | V (A^3/atom) | formation energy from raw total energies (eV/atom) |
| --- | --- | --- |
| 1 | 28.04 | -1.07 |
| 2 | 27.16 | -1.39 |
| 3 | 29.74 | -1.26 |
| 4 | 21.84 | -1.97 |
| 5 | 25.07 | -0.60 |
| 6 | 24.92 | -1.98 |
| 7 | 23.36 | -1.97 |
| 8 | 22.62 | -2.01 |